## NdDyZnNi (PBE)

Data for a relaxed structure of NdDyZnNi.

Cell: 5.000 5.000 5.000 Å, 60.00 60.00 60.00°
Element x y z (fractional)
Nd  0.000  0.000  0.000
Dy  0.500  0.500  0.500
Zn  0.750  0.750  0.750
Ni  0.250  0.250  0.250

Output
N(E_F), states/eV/f.u.: 3.2
Energy of formation from the pure elements, meV per atom: -284
Energy, eV per formula unit: -17.56

***

## Cs3Ce2MgSe6 (PBE)

Data for a relaxed structure of Cs3Ce2MgSe6.

Cell: 7.476 7.476 8.695 Å, 98.23 98.23 120.00°
Element x y z (fractional)
Cs  0.000  0.000  0.000
Cs  0.334  0.666  0.000
Cs  0.666  0.334  0.000
Ce  0.167  0.833  0.500
Ce  0.833  0.167  0.500
Mg  0.500  0.500  0.500
Se  0.111  0.439  0.317
Se  0.233  0.233  0.683
Se  0.439  0.111  0.317
Se  0.561  0.889  0.683
Se  0.767  0.767  0.317
Se  0.889  0.561  0.683

Output
N(E_F), states/eV/f.u.: 6.0
Energy, eV per formula unit: -54.98
Formation energy from raw total energies, kJ/mol of atoms: -145

***

What is the N(E_F) in the second record?
6.0 states/eV/f.u.

***

Look up the N(E_F) of the first one.
3.2 states/eV/f.u.